Record 1
# DyHoGaPt | the Alexandria database | PBE-GGA | optimized geometry
# Energy relative to the lowest polymorph listed for this composition, meV per atom: 0
# N(E_F), states/eV/atom: 0.751
# M_tot, μB per formula unit: 0.0
# Crystal system: orthorhombic
data_DyHoGaPt
_space_group_name_H-M_alt 'A m m 2'
_space_group_IT_number 38
_cell_length_a 4.4320
_cell_length_b 3.7625
_cell_length_c 10.8978
_cell_angle_alpha 90.00
_cell_angle_beta 90.00
_cell_angle_gamma 90.00
loop_
_space_group_symop_operation_xyz
'x,y,z'
'-x,-y,z'
'-x,y,z'
'x,-y,z'
'x,y+1/2,z+1/2'
'-x,-y+1/2,z+1/2'
'-x,y+1/2,z+1/2'
'x,-y+1/2,z+1/2'
loop_
_atom_site_label
_atom_site_fract_x
_atom_site_fract_y
_atom_site_fract_z
Dy1 0.0000 0.0000 0.0000
Ho1 0.5000 0.0000 0.2845
Ga1 0.5000 0.0000 0.5658
Pt1 0.0000 0.0000 0.7212

=====

Record 2
# SmMnC | the Alexandria database | PBE-GGA | optimized geometry
# Energy relative to the lowest polymorph listed for this composition, meV per atom: 281
# N(E_F), states/eV/atom: 0.718
# M_tot, μB per formula unit: 0.0
# Crystal system: hexagonal
data_SmMnC
_space_group_name_H-M_alt 'P -6 m 2'
_space_group_IT_number 187
_space_group_name_Hall 'P -6 2'
_cell_length_a 3.4008
_cell_length_b 3.4008
_cell_length_c 4.3576
_cell_angle_alpha 90.00
_cell_angle_beta 90.00
_cell_angle_gamma 120.00
loop_
_atom_site_label
_atom_site_fract_x
_atom_site_fract_y
_atom_site_fract_z
Sm1 0.0000 0.0000 0.0000
Mn1 0.3333 0.6667 0.5000
C1 0.6667 0.3333 0.5000

=====

Record 3
# LiPPb | the Alexandria database | PBE-GGA | optimized geometry
# Energy relative to the lowest polymorph listed for this composition, meV per atom: 32
# N(E_F), states/eV/atom: 0.182
# M_tot, μB per formula unit: 0.0
# Crystal system: hexagonal
data_LiPPb
_space_group_name_H-M_alt 'P -6 m 2'
_space_group_IT_number 187
_space_group_name_Hall 'P -6 2'
_cell_length_a 4.2807
_cell_length_b 4.2807
_cell_length_c 11.9555
_cell_angle_alpha 90.00
_cell_angle_beta 90.00
_cell_angle_gamma 120.00
loop_
_atom_site_label
_atom_site_fract_x
_atom_site_fract_y
_atom_site_fract_z
Li1 0.0000 0.0000 0.0000
Li2 0.3333 0.6667 0.3260
P1 0.0000 0.0000 0.3310
P2 0.3333 0.6667 0.0000
Pb1 0.6667 0.3333 0.1659
Pb2 0.6667 0.3333 0.5000

=====

Record 4
# Pm2Dy6Ga | the Alexandria database | PBE-GGA | optimized geometry
# N(E_F), states/eV/atom: 1.175
# Energy, eV for the cell shown: -80.5
# M_tot, μB per formula unit: 0.0
# Crystal system: orthorhombic
data_Pm2Dy6Ga
_space_group_name_H-M_alt 'I m m m'
_space_group_IT_number 71
_space_group_name_Hall '-I 2 2'
_cell_length_a 3.5506
_cell_length_b 10.1686
_cell_length_c 15.3541
_cell_angle_alpha 90.00
_cell_angle_beta 90.00
_cell_angle_gamma 90.00
loop_
_atom_site_label
_atom_site_fract_x
_atom_site_fract_y
_atom_site_fract_z
Pm1 0.0000 0.0000 0.1408
Dy1 0.0000 0.2640 0.5000
Dy2 0.0000 0.3436 0.1795
Ga1 0.0000 0.5000 0.0000

=====

Record 5
# ZrCdSbOs2 | the Alexandria database | PBE-GGA | optimized geometry
# N(E_F), states/eV/atom: 1.030
# M_tot, μB per formula unit: 0.0
# Crystal system: tetragonal
# Energy relative to the elements, uncorrected, eV per atom: 1.765
data_ZrCdSbOs2
_space_group_name_H-M_alt 'P 4/m m m'
_space_group_IT_number 123
_space_group_name_Hall '-P 4 2'
_cell_length_a 4.8836
_cell_length_b 4.8836
_cell_length_c 5.3287
_cell_angle_alpha 90.00
_cell_angle_beta 90.00
_cell_angle_gamma 90.00
loop_
_atom_site_label
_atom_site_fract_x
_atom_site_fract_y
_atom_site_fract_z
Zr1 0.0000 0.0000 0.0000
Cd1 0.0000 0.0000 0.5000
Sb1 0.5000 0.5000 0.5000
Os1 0.0000 0.5000 0.0000

=====

Record 6
# Zr3SO5 | the Alexandria database | PBE-GGA | optimized geometry
# N(E_F), states/eV/atom: 0.000
# M_tot, μB per formula unit: 0.0
# Crystal system: monoclinic
# Energy relative to the elements, uncorrected, eV per atom: -2.857
data_Zr3SO5
_space_group_name_H-M_alt 'C 1 2/m 1'
_space_group_IT_number 12
_cell_length_a 10.8402
_cell_length_b 6.8393
_cell_length_c 9.2525
_cell_angle_alpha 90.00
_cell_angle_beta 122.47
_cell_angle_gamma 90.00
loop_
_space_group_symop_operation_xyz
'x,y,z'
'-x,-y,-z'
'-x,y,-z'
'x,-y,z'
'x+1/2,y+1/2,z'
'-x+1/2,-y+1/2,-z'
'-x+1/2,y+1/2,-z'
'x+1/2,-y+1/2,z'
loop_
_atom_site_label
_atom_site_fract_x
_atom_site_fract_y
_atom_site_fract_z
Zr1 0.0000 0.0000 0.0000
Zr2 0.0000 0.0000 0.5000
Zr3 0.1354 0.5000 0.2164
Zr4 0.1605 0.5000 0.6850
S1 0.1009 0.0000 0.3133
O1 0.0000 0.3175 0.0000
O2 0.0536 0.5000 0.3702
O3 0.1771 0.1896 0.6666
O4 0.2158 0.0000 0.0698

=====

Record 7
# NaRePd | the Alexandria database | PBE-GGA | optimized geometry
# Energy relative to the lowest polymorph listed for this composition, meV per atom: 124
# N(E_F), states/eV/atom: 0.480
# M_tot, μB per formula unit: 0.0
# Crystal system: triclinic
data_NaRePd
_space_group_name_H-M_alt 'P 1'
_space_group_IT_number 1
_cell_length_a 2.6964
_cell_length_b 5.8906
_cell_length_c 6.7995
_cell_angle_alpha 83.96
_cell_angle_beta 89.98
_cell_angle_gamma 76.92
loop_
_space_group_symop_operation_xyz
'x,y,z'
loop_
_atom_site_label
_atom_site_fract_x
_atom_site_fract_y
_atom_site_fract_z
Na1 0.0000 0.0000 0.0000
Na2 0.0761 0.8489 0.6142
Re1 0.7118 0.5773 0.2921
Re2 0.8102 0.3787 0.6153
Pd1 0.2596 0.4820 0.9477
Pd2 0.4216 0.1557 0.3273

=====

Record 8
# Ba2AcSe4 | the Alexandria database | PBE-GGA | optimized geometry
# N(E_F), states/eV/atom: 0.686
# M_tot, μB per formula unit: 0.0
# Crystal system: tetragonal
# Energy relative to the elements, uncorrected, eV per atom: -1.832
data_Ba2AcSe4
_space_group_name_H-M_alt 'I -4 2 d'
_space_group_IT_number 122
_space_group_name_Hall 'I -4 2bw'
_cell_length_a 9.7335
_cell_length_b 9.7335
_cell_length_c 9.4885
_cell_angle_alpha 90.00
_cell_angle_beta 90.00
_cell_angle_gamma 90.00
loop_
_atom_site_label
_atom_site_fract_x
_atom_site_fract_y
_atom_site_fract_z
Ba1 0.1227 0.2500 0.1250
Ac1 0.0000 0.0000 0.5000
Se1 0.0704 0.1775 0.7826

=====

Here are the calculated volume numbers, same order: 22.72; 14.55; 21.08; 30.80; 25.42; 16.08; 17.43; 32.11 (Å³ per atom).